Record 1
GGA-PBE LaZn2ReP, optimized geometry; total magnetization = 1.3 μB/cell; E_form = 0.63 eV per atom; VASP energy = -4.432 eV/atom
1.0
4.862 0.000 0.000
0.000 4.862 0.000
0.000 0.000 5.296
La Zn Re P
1 2 1 1
Direct
0.000 0.000 0.000
0.000 0.500 0.500
0.500 0.000 0.500
0.000 0.000 0.500
0.500 0.500 0.000



Record 2
GGA-PBE LaP2Rh, optimized geometry; total magnetization = 0.0 μB/cell; E_form = -0.44 eV per atom; VASP energy = -6.218 eV/atom
1.0
3.294 0.000 0.000
0.000 3.294 0.000
0.000 0.000 6.616
La P Rh
1 2 1
Direct
0.000 0.000 0.000
0.500 0.500 0.320
0.500 0.500 0.680
0.000 0.000 0.500



Record 3
GGA-PBE La2P3Rh6, optimized geometry; total magnetization = 0.0 μB/cell; E_form = -0.89 eV per atom; VASP energy = -7.275 eV/atom
1.0
7.139 0.000 0.000
-3.569 6.182 0.000
0.000 0.000 4.309
La P Rh
2 3 6
Direct
0.333 0.667 0.000
0.667 0.333 0.000
0.000 0.626 0.500
0.374 0.374 0.500
0.626 0.000 0.500
0.000 0.283 0.500
0.000 0.781 0.000
0.219 0.219 0.000
0.283 0.000 0.500
0.717 0.717 0.500
0.781 0.000 0.000



Record 4
GGA-PBE LaPRh2, optimized geometry; total magnetization = 0.0 μB/cell; E_form = -0.48 eV per atom; VASP energy = -6.738 eV/atom
1.0
3.287 0.000 0.000
0.000 3.287 0.000
0.000 0.000 6.690
La P Rh
1 1 2
Direct
0.000 0.000 0.000
0.500 0.500 0.344
0.000 0.000 0.465
0.500 0.500 0.719



Which formula does entry 4 have? LaPRh2